1.
! AcNdPd3 PBE optimized geometry; values from VASP
! Space group: Cmcm
! Energy of formation from the pure elements in eV/atom: -0.798
&SYSTEM
  ibrav = 0, nat = 10, ntyp = 3
/
ATOMIC_SPECIES
Ac 227.00 Ac.upf
Nd 144.24 Nd.upf
Pd 106.42 Pd.upf
ATOMIC_POSITIONS crystal
Ac 0.250 0.073 0.146
Ac 0.750 0.927 0.854
Nd 0.250 0.795 0.590
Nd 0.750 0.205 0.410
Pd 0.250 0.375 0.750
Pd 0.750 0.625 0.250
Pd 0.250 0.473 0.945
Pd 0.750 0.527 0.055
Pd 0.750 0.314 0.628
Pd 0.250 0.686 0.372
CELL_PARAMETERS angstrom
-1.528 4.154 -0.490
-3.565 -1.456 -1.224
-2.645 0.635 13.622



2.
! AcHoErAg PBE optimized geometry; values from VASP
! Space group: F-43m
! Energy of formation from the pure elements in eV/atom: 0.188
&SYSTEM
  ibrav = 0, nat = 4, ntyp = 4
/
ATOMIC_SPECIES
Ac 227.00 Ac.upf
Ho 164.93 Ho.upf
Ag 107.87 Ag.upf
Er 167.26 Er.upf
ATOMIC_POSITIONS crystal
Ac 0.750 0.750 0.750
Ho 0.000 0.000 0.000
Ag 0.250 0.250 0.250
Er 0.500 0.500 0.500
CELL_PARAMETERS angstrom
-4.892 -1.902 -1.765
-1.234 -5.373 0.524
-3.826 -1.618 3.661



3.
! Ce2Al6CuAu PBE optimized geometry; values from VASP
! Distance to the lowest polymorph of the same formula in eV per atom: 0.240
! Space group: P-1
! Energy of formation from the pure elements in eV/atom: -0.257
&SYSTEM
  ibrav = 0, nat = 10, ntyp = 4
/
ATOMIC_SPECIES
Ce 140.12 Ce.upf
Al 26.98 Al.upf
Cu 63.55 Cu.upf
Au 196.97 Au.upf
ATOMIC_POSITIONS crystal
Ce 0.807 0.423 0.386
Ce 0.193 0.577 0.614
Al 0.159 0.124 0.514
Al 0.672 0.877 0.965
Al 0.362 0.876 0.797
Al 0.638 0.124 0.203
Al 0.328 0.123 0.035
Al 0.841 0.876 0.486
Cu 0.000 0.000 0.000
Au 0.500 0.500 0.000
CELL_PARAMETERS angstrom
-4.228 -1.108 -4.813
-0.885 -6.280 2.244
-6.018 -2.043 1.387



4.
! K2YHoO4 PBE optimized geometry; values from VASP
! Energy relative to the elements, uncorrected in kJ/mol of formula units: -2134
! Space group: P2/m
&SYSTEM
  ibrav = 0, nat = 8, ntyp = 4
/
ATOMIC_SPECIES
K 39.10 K.upf
Y 88.91 Y.upf
Ho 164.93 Ho.upf
O 16.00 O.upf
ATOMIC_POSITIONS crystal
K 0.500 0.000 0.500
K 0.000 0.500 0.500
Y 0.000 0.000 0.000
Ho 0.500 0.500 0.000
O 0.500 0.230 0.186
O 0.500 0.770 0.814
O 0.000 0.273 0.815
O 0.000 0.727 0.185
CELL_PARAMETERS angstrom
-2.551 -2.315 -0.467
1.227 -0.163 -5.894
3.648 -4.612 2.937



5.
! ErNpSnO6 PBE optimized geometry; values from VASP
! Energy relative to the elements, uncorrected in kJ/mol of formula units: -2204
! Space group: P-31c
&SYSTEM
  ibrav = 0, nat = 18, ntyp = 4
/
ATOMIC_SPECIES
Er 167.26 Er.upf
Np 237.00 Np.upf
Sn 118.71 Sn.upf
O 16.00 O.upf
ATOMIC_POSITIONS crystal
Er 0.333 0.667 0.250
Er 0.667 0.333 0.750
Np 0.667 0.333 0.250
Np 0.333 0.667 0.750
Sn 0.000 0.000 0.000
Sn 0.000 0.000 0.500
O 0.683 0.667 0.127
O 0.984 0.317 0.127
O 0.317 0.984 0.627
O 0.016 0.683 0.873
O 0.333 0.317 0.373
O 0.984 0.667 0.373
O 0.667 0.984 0.873
O 0.683 0.016 0.373
O 0.016 0.333 0.627
O 0.333 0.016 0.127
O 0.667 0.683 0.627
O 0.317 0.333 0.873
CELL_PARAMETERS angstrom
-4.104 3.778 -0.682
-0.570 -4.115 3.784
3.809 5.277 6.312



6.
! LaAl2Ag PBE optimized geometry; values from VASP
! Distance to the lowest polymorph of the same formula in eV per atom: 0.452
! Space group: R3m
! Energy of formation from the pure elements in eV/atom: 0.060
&SYSTEM
  ibrav = 0, nat = 4, ntyp = 3
/
ATOMIC_SPECIES
Al 26.98 Al.upf
Ag 107.87 Ag.upf
La 138.91 La.upf
ATOMIC_POSITIONS crystal
Al 0.000 0.000 0.000
Al 0.261 0.261 0.261
Ag 0.737 0.737 0.737
La 0.501 0.501 0.501
CELL_PARAMETERS angstrom
-1.622 -9.473 -3.479
-2.501 -9.898 -0.500
-4.548 -8.779 -2.594



Values for total magnetic moment, μB/atom, ordered as above
0.00 0.00 0.25 0.00 0.22 0.15
Values for mass density, g/cm³, ordered as above
9.27 9.22 5.71 5.02 8.29 5.83